1 | # Y2In2Ge

A relaxed structure of Y2In2Ge (PBE, the Alexandria database).

Cell and atoms, written as POSCAR:
```
Y2In2Ge
1.0
7.6072 0.0000 0.0000
0.0000 7.6072 0.0000
0.0000 0.0000 4.8297
Y In Ge
4 4 2
Direct
0.1633 0.3367 0.0000
0.3367 0.8367 0.0000
0.6633 0.1633 0.0000
0.8367 0.6633 0.0000
0.1439 0.6439 0.5000
0.3561 0.1439 0.5000
0.6439 0.8561 0.5000
0.8561 0.3561 0.5000
0.0000 0.0000 0.0000
0.5000 0.5000 0.0000
```

Computed properties:
Density, g cm⁻³: 5.70
SG: No. 127

---

2 | # Y2In2Ge

A relaxed structure of Y2In2Ge (PBE, the Alexandria database).

Cell and atoms, written as POSCAR:
```
Y2In2Ge
1.0
7.4674 0.0000 0.0000
0.0000 7.4674 0.0000
0.0000 0.0000 4.6672
Y In Ge
4 4 2
Direct
0.1684 0.3316 0.0000
0.3316 0.8316 0.0000
0.6684 0.1684 0.0000
0.8316 0.6684 0.0000
0.1365 0.6365 0.5000
0.3635 0.1365 0.5000
0.6365 0.8635 0.5000
0.8635 0.3635 0.5000
0.0000 0.0000 0.5000
0.5000 0.5000 0.5000
```

Computed properties:
Density, g cm⁻³: 6.13
SG: No. 127

---

Which one is most stable, and which one is least stable? 2 is the most stable of them, while 1 is the least stable.

---

1 | # YInGe3

A relaxed structure of YInGe3 (PBE, the Alexandria database).

Cell and atoms, written as POSCAR:
```
YInGe3
1.0
5.4391 0.0000 0.0000
0.0000 5.4391 0.0000
0.0000 0.0000 5.4391
Y In Ge
1 1 3
Direct
0.0000 0.0000 0.0000
0.5000 0.5000 0.5000
0.0000 0.0000 0.5000
0.0000 0.5000 0.0000
0.5000 0.0000 0.0000
```

Computed properties:
Density, g cm⁻³: 4.35
SG: No. 221

---

2 | # YInGe3

A relaxed structure of YInGe3 (PBE, the Alexandria database).

Cell and atoms, written as POSCAR:
```
YInGe3
1.0
5.1771 0.0000 0.0000
0.0000 5.1771 0.0000
0.0000 0.0000 5.1771
Y In Ge
1 1 3
Direct
0.0000 0.0000 0.0000
0.5000 0.5000 0.5000
0.0000 0.5000 0.5000
0.5000 0.0000 0.5000
0.5000 0.5000 0.0000
```

Computed properties:
Density, g cm⁻³: 5.05
SG: No. 221

---

Which one is most stable, and which one is least stable? 2 is the most stable of them, while 1 is the least stable.

---

1 | # ZnIn2Ge

A relaxed structure of ZnIn2Ge (PBE, the Alexandria database).

Cell and atoms, written as POSCAR:
```
ZnIn2Ge
1.0
3.6013 0.0000 0.0000
0.0000 3.6013 0.0000
0.0000 0.0000 6.9109
Zn In Ge
1 2 1
Direct
0.0000 0.0000 0.0000
0.5000 0.5000 0.2459
0.5000 0.5000 0.7541
0.0000 0.0000 0.5000
```

Computed properties:
Density, g cm⁻³: 6.81
SG: No. 123

---

2 | # ZnIn2Ge

A relaxed structure of ZnIn2Ge (PBE, the Alexandria database).

Cell and atoms, written as POSCAR:
```
ZnIn2Ge
1.0
-3.9673 3.9673 2.9665
3.9673 -3.9673 2.9665
3.9673 3.9673 -2.9665
Zn In Ge
2 4 2
Direct
0.0000 0.0000 0.0000
0.7500 0.2500 0.5000
0.1338 0.6250 0.0088
0.3750 0.3838 0.5088
0.6162 0.1250 0.9912
0.8750 0.8662 0.4912
0.2500 0.7500 0.5000
0.5000 0.5000 0.0000
```

Computed properties:
Density, g cm⁻³: 6.54
SG: No. 122

---

3 | # ZnIn2Ge

A relaxed structure of ZnIn2Ge (PBE, the Alexandria database).

Cell and atoms, written as POSCAR:
```
ZnIn2Ge
1.0
2.1560 1.2448 5.9551
-2.1560 1.2448 5.9551
0.0000 -2.4896 5.9551
Zn In Ge
1 2 1
Direct
0.0000 0.0000 0.0000
0.4122 0.4122 0.4122
0.5899 0.5899 0.5899
0.8434 0.8434 0.8434
```

Computed properties:
Density, g cm⁻³: 6.37
SG: No. 160

---

4 | # ZnIn2Ge

A relaxed structure of ZnIn2Ge (PBE, the Alexandria database).

Cell and atoms, written as POSCAR:
```
ZnIn2Ge
1.0
1.5970 0.9220 10.6465
-1.5970 0.9220 10.6465
0.0000 -1.8440 10.6465
Zn In Ge
1 2 1
Direct
0.0000 0.0000 0.0000
0.0871 0.0871 0.0871
0.9129 0.9129 0.9129
0.5000 0.5000 0.5000
```

Computed properties:
Density, g cm⁻³: 6.49
SG: No. 166

---

Which one is most stable, and which one is least stable? 3 is the most stable of them, while 4 is the least stable.

---

1 | # Zn2InGe

A relaxed structure of Zn2InGe (PBE, the Alexandria database).

Cell and atoms, written as POSCAR:
```
Zn2InGe
1.0
0.0000 3.4004 3.4004
3.4004 0.0000 3.4004
3.4004 3.4004 0.0000
Zn In Ge
2 1 1
Direct
0.2500 0.2500 0.2500
0.7500 0.7500 0.7500
0.0000 0.0000 0.0000
0.5000 0.5000 0.5000
```

Computed properties:
Density, g cm⁻³: 6.72
SG: No. 225

---

2 | # Zn2InGe

A relaxed structure of Zn2InGe (PBE, the Alexandria database).

Cell and atoms, written as POSCAR:
```
Zn2InGe
1.0
-2.2115 2.2115 8.5573
2.2115 -2.2115 8.5573
2.2115 2.2115 -8.5573
Zn In Ge
4 2 2
Direct
0.0973 0.6250 0.9723
0.3750 0.3473 0.4723
0.6527 0.1250 0.0277
0.8750 0.9027 0.5277
0.2500 0.7500 0.5000
0.5000 0.5000 0.0000
0.0000 0.0000 0.0000
0.7500 0.2500 0.5000
```

Computed properties:
Density, g cm⁻³: 6.31
SG: No. 122

---

Which one is most stable, and which one is least stable? 2 is the most stable of them, while 1 is the least stable.

---

1 | # Zn2InGe

A relaxed structure of Zn2InGe (PBE, the Alexandria database).

Cell and atoms, written as POSCAR:
```
Zn2InGe
1.0
1.8169 1.0490 7.2130
-1.8169 1.0490 7.2130
0.0000 -2.0979 7.2130
Zn In Ge
2 1 1
Direct
0.2399 0.2399 0.2399
0.7601 0.7601 0.7601
0.0000 0.0000 0.0000
0.5000 0.5000 0.5000
```

Computed properties:
Density, g cm⁻³: 6.41
SG: No. 166

---

2 | # Zn2InGe

A relaxed structure of Zn2InGe (PBE, the Alexandria database).

Cell and atoms, written as POSCAR:
```
Zn2InGe
1.0
2.0470 1.1818 5.8233
-2.0470 1.1818 5.8233
0.0000 -2.3636 5.8233
Zn In Ge
2 1 1
Direct
0.0000 0.0000 0.0000
0.2022 0.2022 0.2022
0.4296 0.4296 0.4296
0.6015 0.6015 0.6015
```

Computed properties:
Density, g cm⁻³: 6.25
SG: No. 160

---

Which one is most stable, and which one is least stable? 2 is the most stable of them, while 1 is the least stable.

---

1 | # Zn2InGe2

A relaxed structure of Zn2InGe2 (PBE, the Alexandria database).

Cell and atoms, written as POSCAR:
```
Zn2InGe2
1.0
8.1303 0.0000 0.0000
0.0000 8.1303 0.0000
0.0000 0.0000 2.9553
Zn In Ge
4 2 4
Direct
0.1383 0.3617 0.0000
0.3617 0.8617 0.0000
0.6383 0.1383 0.0000
0.8617 0.6383 0.0000
0.0000 0.0000 0.5000
0.5000 0.5000 0.5000
0.1569 0.6569 0.5000
0.3431 0.1569 0.5000
0.6569 0.8431 0.5000
0.8431 0.3431 0.5000
```

Computed properties:
Density, g cm⁻³: 6.65
SG: No. 127

---

2 | # Zn2InGe2

A relaxed structure of Zn2InGe2 (PBE, the Alexandria database).

Cell and atoms, written as POSCAR:
```
Zn2InGe2
1.0
-2.1861 2.1861 5.4017
2.1861 -2.1861 5.4017
2.1861 2.1861 -5.4017
Zn In Ge
2 1 2
Direct
0.2500 0.7500 0.5000
0.7500 0.2500 0.5000
0.0000 0.0000 0.0000
0.3842 0.3842 0.0000
0.6158 0.6158 0.0000
```

Computed properties:
Density, g cm⁻³: 6.29
SG: No. 139

---

Which one is most stable, and which one is least stable? 2 is the most stable of them, while 1 is the least stable.

---

1 | # Zn2In2Ge

A relaxed structure of Zn2In2Ge (PBE, the Alexandria database).

Cell and atoms, written as POSCAR:
```
Zn2In2Ge
1.0
-1.8276 1.8276 8.2358
1.8276 -1.8276 8.2358
1.8276 1.8276 -8.2358
Zn In Ge
2 2 1
Direct
0.2500 0.7500 0.5000
0.7500 0.2500 0.5000
0.1031 0.1031 0.0000
0.8969 0.8969 0.0000
0.5000 0.5000 0.0000
```

Computed properties:
Density, g cm⁻³: 6.54
SG: No. 139

---

2 | # Zn2In2Ge

A relaxed structure of Zn2In2Ge (PBE, the Alexandria database).

Cell and atoms, written as POSCAR:
```
Zn2In2Ge
1.0
-2.1216 2.1216 6.1681
2.1216 -2.1216 6.1681
2.1216 2.1216 -6.1681
Zn In Ge
2 2 1
Direct
0.0966 0.0966 0.0000
0.9034 0.9034 0.0000
0.2500 0.7500 0.5000
0.7500 0.2500 0.5000
0.5000 0.5000 0.0000
```

Computed properties:
Density, g cm⁻³: 6.48
SG: No. 139

---

3 | # Zn2In2Ge

A relaxed structure of Zn2In2Ge (PBE, the Alexandria database).

Cell and atoms, written as POSCAR:
```
Zn2In2Ge
1.0
6.7923 0.0000 0.0000
0.0000 6.7923 0.0000
0.0000 0.0000 4.6837
Zn In Ge
4 4 2
Direct
0.1332 0.3668 0.0000
0.3668 0.8668 0.0000
0.6332 0.1332 0.0000
0.8668 0.6332 0.0000
0.1761 0.6761 0.5000
0.3239 0.1761 0.5000
0.6761 0.8239 0.5000
0.8239 0.3239 0.5000
0.0000 0.0000 0.0000
0.5000 0.5000 0.0000
```

Computed properties:
Density, g cm⁻³: 6.66
SG: No. 127

---

4 | # Zn2In2Ge

A relaxed structure of Zn2In2Ge (PBE, the Alexandria database).

Cell and atoms, written as POSCAR:
```
Zn2In2Ge
1.0
8.4041 0.0000 0.0000
0.0000 8.4041 0.0000
0.0000 0.0000 3.0489
Zn In Ge
4 4 2
Direct
0.1074 0.3926 0.0000
0.3926 0.8926 0.0000
0.6074 0.1074 0.0000
0.8926 0.6074 0.0000
0.1936 0.6936 0.5000
0.3064 0.1936 0.5000
0.6936 0.8064 0.5000
0.8064 0.3064 0.5000
0.0000 0.0000 0.5000
0.5000 0.5000 0.5000
```

Computed properties:
Density, g cm⁻³: 6.68
SG: No. 127

---

Which one is most stable, and which one is least stable? 3 is the most stable of them, while 2 is the least stable.

---

1 | # Zr3InGe

A relaxed structure of Zr3InGe (PBE, the Alexandria database).

Cell and atoms, written as POSCAR:
```
Zr3InGe
1.0
3.6928 0.0000 0.0000
0.0000 4.9687 6.5803
0.0000 -4.9687 6.5803
Zr In Ge
6 2 2
Direct
0.0000 0.0000 0.0000
0.0000 0.3895 0.3895
0.5000 0.0023 0.6228
0.5000 0.3866 0.7664
0.5000 0.6228 0.0023
0.5000 0.7664 0.3866
0.0000 0.6943 0.6943
0.5000 0.1948 0.1948
0.0000 0.1945 0.6946
0.0000 0.6946 0.1945
```

Computed properties:
Density, g cm⁻³: 6.34
SG: No. 38

---

2 | # Zr3InGe

A relaxed structure of Zr3InGe (PBE, the Alexandria database).

Cell and atoms, written as POSCAR:
```
Zr3InGe
1.0
5.0206 0.0000 0.0000
0.0000 5.0206 0.0000
0.0000 0.0000 5.0206
Zr In Ge
3 1 1
Direct
0.0000 0.0000 0.5000
0.0000 0.5000 0.0000
0.5000 0.0000 0.0000
0.5000 0.5000 0.5000
0.0000 0.0000 0.0000
```

Computed properties:
Density, g cm⁻³: 6.05
SG: No. 221

---

Which one is most stable, and which one is least stable? 1 is the most stable of them, while 2 is the least stable.